# 1
Sn2GeCCl: relaxed, PBE-GGA.

Lattice parameters (Å, degrees): 5.515 3.833 5.515 90.00 90.00 90.00
Fractional coordinates of all 5 atoms:
1 Sn 0.500 0.000 0.000
2 Ge 0.000 0.500 0.000
3 Cl 0.500 0.500 0.500
4 Sn 0.000 0.000 0.500
5 C 0.000 0.000 0.000

Results
SG: P4/mmm (123)
DOS(E_F): 1.777 states/eV per cell
Raw total energy: -4.09 eV per atom

***

# 2
Tb6GeC2Cl3: relaxed, PBE-GGA.

Lattice parameters (Å, degrees): 3.790 8.190 9.068 106.66 102.06 90.00
Fractional coordinates of all 12 atoms:
1 Ge 0.500 0.000 0.000
2 Cl 0.168 0.831 0.336
3 Tb 0.667 0.143 0.335
4 Tb 0.683 0.556 0.366
5 C 0.171 0.341 0.341
6 Tb 0.973 0.740 0.946
7 Tb 0.317 0.444 0.634
8 Tb 0.027 0.260 0.054
9 Tb 0.333 0.857 0.665
10 Cl 0.832 0.169 0.664
11 C 0.829 0.659 0.659
12 Cl 0.500 0.500 0.000

Results
SG: C2/m (12)
DOS(E_F): 4.806 states/eV per cell
Raw total energy: -5.80 eV per atom

***

# 3
YGeC2Cl: relaxed, PBE-GGA.

Lattice parameters (Å, degrees): 3.963 4.979 3.963 90.00 90.00 90.00
Fractional coordinates of all 5 atoms:
1 C 0.500 0.000 0.000
2 Ge 0.000 0.000 0.000
3 Y 0.500 0.500 0.500
4 C 0.000 0.000 0.500
5 Cl 0.000 0.500 0.000

Results
SG: P4/mmm (123)
DOS(E_F): 1.058 states/eV per cell
Raw total energy: -5.41 eV per atom

***

# 4
Hg2H6CN3Cl5: relaxed, PBE-GGA.

Lattice parameters (Å, degrees): 7.867 7.867 19.108 90.00 90.00 148.58
Fractional coordinates of all 34 atoms:
1 Hg 0.989 0.247 0.966
2 Hg 0.011 0.753 0.466
3 Hg 0.753 0.011 0.534
4 Cl 0.030 0.233 0.844
5 N 0.288 0.712 0.250
6 H 0.578 0.547 0.812
7 Cl 0.281 0.883 0.923
8 N 0.541 0.700 0.196
9 H 0.610 0.835 0.155
10 Hg 0.247 0.989 0.034
11 H 0.200 0.697 0.294
12 Cl 0.607 0.607 0.000
13 H 0.453 0.422 0.688
14 H 0.800 0.303 0.794
15 N 0.712 0.288 0.750
16 N 0.700 0.541 0.804
17 H 0.422 0.453 0.312
18 Cl 0.233 0.030 0.156
19 Cl 0.117 0.719 0.577
20 N 0.459 0.300 0.696
21 Cl 0.767 0.970 0.656
22 Cl 0.883 0.281 0.077
23 N 0.300 0.459 0.304
24 H 0.390 0.165 0.655
25 Cl 0.393 0.393 0.500
26 H 0.165 0.390 0.345
27 C 0.624 0.376 0.750
28 H 0.697 0.200 0.706
29 H 0.303 0.800 0.206
30 H 0.835 0.610 0.845
31 Cl 0.970 0.767 0.344
32 Cl 0.719 0.117 0.423
33 H 0.547 0.578 0.188
34 C 0.376 0.624 0.250

Results
SG: C222_1 (20)
DOS(E_F): 0.000 states/eV per cell
Raw total energy: -4.28 eV per atom

***

# 5
Ho6HC2Cl3: relaxed, PBE-GGA.

Lattice parameters (Å, degrees): 6.269 6.269 7.070 98.59 98.59 119.90
Fractional coordinates of all 12 atoms:
1 Cl 0.830 0.170 0.500
2 Ho 0.589 0.937 0.808
3 Ho 0.937 0.589 0.808
4 Ho 0.716 0.716 0.194
5 H 0.000 0.000 0.000
6 C 0.666 0.334 0.000
7 Ho 0.063 0.411 0.192
8 Cl 0.500 0.500 0.500
9 Ho 0.284 0.284 0.806
10 Ho 0.411 0.063 0.192
11 Cl 0.170 0.830 0.500
12 C 0.334 0.666 0.000

Results
SG: C2/m (12)
DOS(E_F): 6.255 states/eV per cell
Raw total energy: -5.51 eV per atom

***

# 6
InPH6CCl3: relaxed, PBE-GGA.

Lattice parameters (Å, degrees): 8.327 5.972 8.130 89.59 89.70 89.76
Fractional coordinates of all 24 atoms:
1 Cl 0.718 0.997 0.817
2 Cl 0.293 0.020 0.764
3 Cl 0.057 0.533 0.517
4 H 0.377 0.703 0.415
5 P 0.424 0.506 0.498
6 H 0.855 0.501 0.796
7 H 0.027 0.493 0.191
8 H 0.360 0.506 0.658
9 Cl 0.239 0.018 0.195
10 Cl 0.656 0.999 0.246
11 In 0.478 0.938 0.003
12 H 0.366 0.322 0.410
13 H 0.679 0.642 0.580
14 H 0.851 0.343 0.128
15 In 0.999 0.998 0.473
16 H 0.087 0.319 0.862
17 C 0.639 0.493 0.513
18 H 0.671 0.340 0.581
19 C 0.923 0.495 0.109
20 H 0.692 0.490 0.390
21 H 0.077 0.700 0.866
22 P 0.988 0.504 0.900
23 Cl 0.457 0.528 0.002
24 H 0.849 0.645 0.133

Results
SG: P1 (1)
Energy above the lowest structure with this stoichiometry: 5.3 meV per atom
DOS(E_F): 0.000 states/eV per cell
Raw total energy: -4.05 eV per atom

***

# 7
InPH6CCl3: relaxed, PBE-GGA.

Lattice parameters (Å, degrees): 8.189 7.704 17.346 90.48 120.93 98.50
Fractional coordinates of all 48 atoms:
1 H 0.677 0.743 0.112
2 H 0.774 0.593 0.626
3 H 0.790 0.968 0.009
4 Cl 0.661 0.257 0.902
5 H 0.308 0.356 0.866
6 H 0.021 0.795 0.043
7 Cl 0.650 0.251 0.689
8 H 0.993 0.752 0.691
9 In 0.502 0.975 0.257
10 P 0.167 0.181 0.364
11 Cl 0.809 0.837 0.336
12 H 0.646 0.777 0.460
13 Cl 0.354 0.756 0.116
14 C 0.815 0.721 0.121
15 P 0.172 0.231 0.871
16 H 0.068 0.194 0.977
17 Cl 0.811 0.896 0.836
18 H 0.761 0.817 0.648
19 H 0.986 0.244 0.798
20 P 0.838 0.787 0.534
21 H 0.942 0.958 0.547
22 H 0.927 0.671 0.511
23 H 0.216 0.064 0.861
24 C 0.191 0.274 0.977
25 In 0.507 0.474 0.252
26 H 0.057 0.166 0.467
27 H 0.936 0.793 0.184
28 H 0.822 0.580 0.122
29 H 0.190 0.414 0.988
30 H 0.317 0.220 0.525
31 H 0.699 0.686 0.949
32 C 0.842 0.731 0.635
33 H 0.171 0.384 0.469
34 Cl 0.356 0.821 0.831
35 C 0.180 0.243 0.467
36 Cl 0.351 0.817 0.620
37 Cl 0.345 0.757 0.324
38 H 0.302 0.303 0.355
39 Cl 0.193 0.113 0.183
40 H 0.980 0.183 0.288
41 Cl 0.651 0.193 0.398
42 P 0.835 0.798 0.028
43 In 0.503 0.533 0.751
44 H 0.327 0.240 0.032
45 Cl 0.201 0.183 0.689
46 In 0.505 0.036 0.761
47 Cl 0.648 0.187 0.186
48 H 0.218 0.014 0.363

Results
SG: P1 (1)
Energy above the lowest structure with this stoichiometry: 0.0 meV per atom
DOS(E_F): 0.000 states/eV per cell
Raw total energy: -4.06 eV per atom

***

# 8
H10IrC2Cl3O3: relaxed, PBE-GGA.

Lattice parameters (Å, degrees): 7.369 7.563 9.068 107.27 106.16 88.71
Fractional coordinates of all 38 atoms:
1 O 0.624 0.238 0.788
2 H 0.170 0.730 0.941
3 H 0.080 0.675 0.726
4 O 0.794 0.289 0.581
5 H 0.830 0.270 0.059
6 Cl 0.707 0.640 0.459
7 O 0.206 0.711 0.419
8 H 0.252 0.619 0.476
9 H 0.804 0.024 0.782
10 H 0.196 0.976 0.218
11 Cl 0.293 0.360 0.541
12 H 0.924 0.663 0.846
13 C 0.068 0.643 0.834
14 O 0.894 0.549 0.176
15 Ir 0.367 0.349 0.807
16 Cl 0.196 0.059 0.721
17 O 0.376 0.762 0.212
18 H 0.920 0.325 0.274
19 H 0.378 0.982 0.121
20 O 0.106 0.451 0.824
21 H 0.195 0.827 0.502
22 H 0.748 0.381 0.524
23 H 0.563 0.952 0.664
24 H 0.332 0.735 0.300
25 H 0.668 0.265 0.700
26 H 0.076 0.337 0.154
27 C 0.932 0.357 0.166
28 Cl 0.456 0.357 0.084
29 H 0.005 0.372 0.729
30 C 0.654 0.044 0.777
31 Cl 0.544 0.643 0.916
32 H 0.805 0.173 0.498
33 Cl 0.804 0.941 0.279
34 H 0.995 0.628 0.271
35 C 0.346 0.956 0.223
36 H 0.622 0.018 0.879
37 H 0.437 0.048 0.336
38 Ir 0.633 0.651 0.193

Results
SG: P-1 (2)
DOS(E_F): 0.000 states/eV per cell
Raw total energy: -4.85 eV per atom

***

# 9
La4HCCl2: relaxed, PBE-GGA.

Lattice parameters (Å, degrees): 3.865 6.647 7.493 105.53 90.00 90.00
Fractional coordinates of all 8 atoms:
1 La 0.500 0.747 0.794
2 H 0.000 0.000 0.000
3 La 0.000 0.270 0.808
4 La 0.000 0.730 0.192
5 Cl 0.500 0.000 0.500
6 Cl 0.000 0.500 0.500
7 La 0.500 0.253 0.206
8 C 0.500 0.500 0.000

Results
SG: P2/m (10)
DOS(E_F): 4.475 states/eV per cell
Raw total energy: -5.49 eV per atom

***

# 10
LiH2CCl: relaxed, PBE-GGA.

Lattice parameters (Å, degrees): 3.055 6.833 3.055 90.00 90.00 90.00
Each line ends with the local moment (μB).
Fractional coordinates of all 5 atoms:
1 H 0.500 0.000 0.000  -0.01
2 H 0.000 0.000 0.500  0.00
3 C 0.000 0.000 0.000  0.52
4 Li 0.000 0.500 0.000  0.00
5 Cl 0.500 0.500 0.500  0.01

Results
SG: P4/mmm (123)
DOS(E_F): 1.070 states/eV per cell
Raw total energy: -3.51 eV per atom

***

# 11
MnH2CCl: relaxed, PBE-GGA.

Lattice parameters (Å, degrees): 3.446 5.359 3.446 90.00 90.00 90.00
Each line ends with the local moment (μB).
Fractional coordinates of all 5 atoms:
1 Mn 0.000 0.000 0.000  4.05
2 Cl 0.000 0.500 0.000  0.06
3 H 0.500 0.000 0.000  -0.03
4 C 0.500 0.500 0.500  -0.70
5 H 0.000 0.000 0.500  -0.04

Results
SG: P4/mmm (123)
DOS(E_F): 1.089 states/eV per cell
Raw total energy: -4.12 eV per atom

***

Q: What is the formula in the ninth record?
A: La4HCCl2